Entry 1:
VASP calculation (PBE) on an optimized crystal structure of TiPbSN2.

V = 18.8 A^3/atom
total magnetic moment = 0.032 Bohr magnetons per cell
energy relative to the lowest polymorph listed for this composition = 1.427 eV per atom
space-group type = P4/mmm (123)

```
TiPbSN2
1.0
4.2067 0.0000 0.0000
0.0000 4.2067 0.0000
0.0000 0.0000 5.3254
Ti Pb S N
1 1 1 2
Direct
0.0000 0.0000 0.0000
0.5000 0.5000 0.5000
0.5000 0.5000 0.0000
0.0000 0.5000 0.5000
0.5000 0.0000 0.5000
```



Entry 2:
VASP calculation (PBE) on an optimized crystal structure of Ag2SbCl.

V = 23.4 A^3/atom
total magnetic moment = 0.000 Bohr magnetons per cell
energy relative to the lowest polymorph listed for this composition = 0.017 eV per atom
space-group type = P4mm (99)

```
Ag2SbCl
1.0
3.5519 0.0000 0.0000
0.0000 3.5519 0.0000
0.0000 0.0000 7.4203
Ag Sb Cl
2 1 1
Direct
0.0000 0.0000 0.0000
0.5000 0.5000 0.2043
0.5000 0.5000 0.8017
0.0000 0.0000 0.3893
```



Entry 3:
VASP calculation (PBE) on an optimized crystal structure of Mg4CdRh.

calculated formation energy = 0.12 eV/atom
V = 19.5 A^3/atom
total magnetic moment = 0.000 Bohr magnetons per cell
energy relative to the lowest polymorph listed for this composition = 0.365 eV per atom
space-group type = F-43m (216)

```
Mg4CdRh
1.0
0.0000 3.8851 3.8851
3.8851 0.0000 3.8851
3.8851 3.8851 0.0000
Mg Cd Rh
4 1 1
Direct
0.1243 0.1243 0.1243
0.1243 0.1243 0.6270
0.1243 0.6270 0.1243
0.6270 0.1243 0.1243
0.5000 0.5000 0.5000
0.7500 0.7500 0.7500
```